--- P ---
VASP calculation (GGA-PBE) on TcH3F after structural relaxation.

abc: 3.3360 3.3360 3.3360
angles: 90.00 90.00 90.00
With the nearest neighbours (Å) after each atom.
Positions (direct):
Tc (0.0000, 0.0000, 0.0000)  12 H 2.36
H (0.0000, 0.5000, 0.5000)  2 F 1.67
H (0.5000, 0.0000, 0.5000)  2 F 1.67
H (0.5000, 0.5000, 0.0000)  2 F 1.67
F (0.5000, 0.5000, 0.5000)  6 H 1.67

Values from the calculation:
Its space group is Pm-3m. The value obtained for the density is 5.4 g/cm³. The crystal system is cubic. For the volume, the calculation gives 7.43 Å³ per atom.

***

--- Q ---
VASP calculation (GGA-PBE) on TcH3F after structural relaxation.

abc: 3.5242 3.5242 3.5242
angles: 90.00 90.00 90.00
With the nearest neighbours (Å) after each atom.
Positions (direct):
Tc (0.0000, 0.0000, 0.0000)  6 H 1.76
H (0.0000, 0.0000, 0.5000)  2 Tc 1.76
H (0.0000, 0.5000, 0.0000)  2 Tc 1.76
H (0.5000, 0.0000, 0.0000)  2 Tc 1.76
F (0.5000, 0.5000, 0.5000)  12 H 2.49

Values from the calculation:
Its space group is Pm-3m. The value obtained for the density is 4.6 g/cm³. The crystal system is cubic. For the volume, the calculation gives 8.75 Å³ per atom.

***

Tell me which of them is the least stable. Sure, it is P.

***

--- P ---
VASP calculation (GGA-PBE) on TeH2F after structural relaxation.

abc: 3.8152 3.8152 3.8152
angles: 60.00 60.00 60.00
With the nearest neighbours (Å) after each atom.
Positions (direct):
Te (0.0000, 0.0000, 0.0000)  8 H 2.34
H (0.2500, 0.2500, 0.2500)  4 F 2.34, 4 Te 2.34
H (0.7500, 0.7500, 0.7500)  4 F 2.34, 4 Te 2.34
F (0.5000, 0.5000, 0.5000)  8 H 2.34

Values from the calculation:
Its space group is Fm-3m. The value obtained for the density is 6.3 g/cm³. The crystal system is cubic. For the volume, the calculation gives 9.82 Å³ per atom.

***

--- Q ---
VASP calculation (GGA-PBE) on TeH2F after structural relaxation.

abc: 7.0458 7.0458 7.0458
angles: 146.91 146.91 47.50
With the nearest neighbours (Å) after each atom.
Positions (direct):
Te (0.0000, 0.0000, 0.0000)  4 H 1.90
Te (0.7500, 0.2500, 0.5000)  4 H 1.90
H (0.3750, 0.1556, 0.2806)  2 Te 1.90, 2 H 2.02
H (0.8444, 0.1250, 0.2194)  2 Te 1.90, 2 H 2.02
H (0.8750, 0.0944, 0.7194)  2 Te 1.90, 2 H 2.02
H (0.9056, 0.6250, 0.7806)  2 Te 1.90, 2 H 2.02
F (0.2500, 0.7500, 0.5000)  8 H 2.67-2.85, 4 Te 2.84
F (0.5000, 0.5000, 0.0000)  8 H 2.67-2.85, 4 Te 2.84

Values from the calculation:
Its space group is I-42d. The value obtained for the density is 4.8 g/cm³. The crystal system is tetragonal. For the volume, the calculation gives 12.98 Å³ per atom.

***

Tell me which of them is the least stable. Sure, it is P.

***

--- P ---
VASP calculation (GGA-PBE) on TiHF2 after structural relaxation.

abc: 6.4772 6.4772 6.4772
angles: 132.19 132.19 69.93
With the nearest neighbours (Å) after each atom.
Positions (direct):
Ti (0.0000, 0.0000, 0.0000)  4 F 1.92
Ti (0.7500, 0.2500, 0.5000)  4 F 1.92
H (0.2500, 0.7500, 0.5000)  4 F 2.87
H (0.5000, 0.5000, 0.0000)  4 F 2.87
F (0.3750, 0.2098, 0.3348)  2 Ti 1.92
F (0.7902, 0.1250, 0.1652)  2 Ti 1.92
F (0.8750, 0.0402, 0.6652)  2 Ti 1.92
F (0.9598, 0.6250, 0.8348)  2 Ti 1.92

Values from the calculation:
Its space group is I-42d. The value obtained for the density is 2.0 g/cm³. The crystal system is tetragonal. For the volume, the calculation gives 18.28 Å³ per atom.

***

--- Q ---
VASP calculation (GGA-PBE) on TiHF2 after structural relaxation.

abc: 3.6579 3.6579 3.6579
angles: 60.00 60.00 60.00
With the nearest neighbours (Å) after each atom.
Positions (direct):
Ti (0.0000, 0.0000, 0.0000)  8 F 2.24
H (0.5000, 0.5000, 0.5000)  8 F 2.24
F (0.2500, 0.2500, 0.2500)  4 H 2.24, 4 Ti 2.24
F (0.7500, 0.7500, 0.7500)  4 H 2.24, 4 Ti 2.24

Values from the calculation:
Its space group is Fm-3m. The value obtained for the density is 4.2 g/cm³. The crystal system is cubic. For the volume, the calculation gives 8.65 Å³ per atom.

***

--- R ---
VASP calculation (GGA-PBE) on TiHF2 after structural relaxation.

abc: 5.9317 5.9317 5.9317
angles: 27.74 27.74 27.74
With the nearest neighbours (Å) after each atom.
Positions (direct):
Ti (0.0000, 0.0000, 0.0000)  6 F 2.36
H (0.5000, 0.5000, 0.5000)  2 F 1.15
F (0.4327, 0.4327, 0.4327)  1 H 1.15
F (0.5673, 0.5673, 0.5673)  1 H 1.15

Values from the calculation:
Its space group is R-3m. The value obtained for the density is 3.6 g/cm³. The crystal system is trigonal. For the volume, the calculation gives 9.98 Å³ per atom.

***

--- S ---
VASP calculation (GGA-PBE) on TiHF2 after structural relaxation.

abc: 7.9233 7.9233 7.9233
angles: 22.41 22.41 22.41
With the nearest neighbours (Å) after each atom.
Positions (direct):
Ti (0.0000, 0.0000, 0.0000)  2 F 1.79
H (0.5000, 0.5000, 0.5000)  6 F 2.73
F (0.0774, 0.0774, 0.0774)  1 Ti 1.79
F (0.9226, 0.9226, 0.9226)  1 Ti 1.79

Values from the calculation:
Its space group is R-3m. The value obtained for the density is 2.3 g/cm³. The crystal system is trigonal. For the volume, the calculation gives 15.86 Å³ per atom.

***

Tell me which of them is the least stable. Sure, it is S.

***

--- P ---
VASP calculation (GGA-PBE) on Ti2HF2 after structural relaxation.

abc: 6.4482 6.4482 2.6811
angles: 90.00 90.00 90.00
With the nearest neighbours (Å) after each atom.
Positions (direct):
Ti (0.1939, 0.3061, 0.0000)  2 F 2.15
Ti (0.3061, 0.8061, 0.0000)  2 F 2.15
Ti (0.6939, 0.1939, 0.0000)  2 F 2.15
Ti (0.8061, 0.6939, 0.0000)  2 F 2.15
H (0.0000, 0.0000, 0.5000)  4 F 2.56, 2 H 2.68, 8 Ti 2.69
H (0.5000, 0.5000, 0.5000)  4 F 2.56, 2 H 2.68, 8 Ti 2.69
F (0.1216, 0.6216, 0.5000)  2 Ti 2.15, 1 F 2.22
F (0.3784, 0.1216, 0.5000)  2 Ti 2.15, 1 F 2.22
F (0.6216, 0.8784, 0.5000)  2 Ti 2.15, 1 F 2.22
F (0.8784, 0.3784, 0.5000)  2 Ti 2.15, 1 F 2.22

Values from the calculation:
Its space group is P4/mbm. The value obtained for the density is 4.0 g/cm³. The crystal system is tetragonal. For the volume, the calculation gives 11.15 Å³ per atom.

***

--- Q ---
VASP calculation (GGA-PBE) on Ti2HF2 after structural relaxation.

abc: 5.2412 5.2412 5.2412
angles: 138.90 138.90 59.52
With the nearest neighbours (Å) after each atom.
Positions (direct):
Ti (0.2500, 0.7500, 0.5000)  4 F 2.17
Ti (0.7500, 0.2500, 0.5000)  4 F 2.17
H (0.0000, 0.0000, 0.0000)  8 F 2.83, 8 Ti 2.93
F (0.3774, 0.3774, 0.0000)  4 Ti 2.17, 1 F 2.23
F (0.6226, 0.6226, 0.0000)  4 Ti 2.17, 1 F 2.23

Values from the calculation:
Its space group is I4/mmm. The value obtained for the density is 3.6 g/cm³. The crystal system is tetragonal. For the volume, the calculation gives 12.32 Å³ per atom.

***

Tell me which of them is the least stable. Sure, it is P.

***

--- P ---
VASP calculation (GGA-PBE) on Tl2HF after structural relaxation.

abc: 4.8087 4.8087 4.8087
angles: 60.00 60.00 60.00
With the nearest neighbours (Å) after each atom.
Positions (direct):
Tl (0.2500, 0.2500, 0.2500)  4 H 2.94, 4 F 2.94
Tl (0.7500, 0.7500, 0.7500)  4 F 2.94, 4 H 2.94
H (0.0000, 0.0000, 0.0000)  8 Tl 2.94
F (0.5000, 0.5000, 0.5000)  8 Tl 2.94

Values from the calculation:
Its space group is Fm-3m. The value obtained for the density is 9.1 g/cm³. The crystal system is cubic. For the volume, the calculation gives 19.66 Å³ per atom.

***

--- Q ---
VASP calculation (GGA-PBE) on Tl2HF after structural relaxation.

abc: 7.0693 7.0693 7.0693
angles: 129.39 129.39 74.38
With the nearest neighbours (Å) after each atom.
Positions (direct):
Tl (0.1025, 0.6250, 0.9775)  2 H 2.48, 2 F 2.64
Tl (0.3750, 0.3525, 0.4775)  2 H 2.48, 2 F 2.64
Tl (0.6475, 0.1250, 0.0225)  2 H 2.48, 2 F 2.64
Tl (0.8750, 0.8975, 0.5225)  2 H 2.48, 2 F 2.64
H (0.0000, 0.0000, 0.0000)  4 Tl 2.48
H (0.7500, 0.2500, 0.5000)  4 Tl 2.48
F (0.2500, 0.7500, 0.5000)  4 Tl 2.64
F (0.5000, 0.5000, 0.0000)  4 Tl 2.64

Values from the calculation:
Its space group is I-42d. The value obtained for the density is 6.9 g/cm³. The crystal system is tetragonal. For the volume, the calculation gives 25.71 Å³ per atom.

***

--- R ---
VASP calculation (GGA-PBE) on Tl2HF after structural relaxation.

abc: 4.8173 4.8173 3.3721
angles: 90.00 90.00 90.00
With the nearest neighbours (Å) after each atom.
Positions (direct):
Tl (0.0000, 0.5000, 0.0000)  4 F 2.94, 4 H 2.94
Tl (0.5000, 0.0000, 0.0000)  4 F 2.94, 4 H 2.94
H (0.0000, 0.0000, 0.5000)  8 Tl 2.94
F (0.5000, 0.5000, 0.5000)  8 Tl 2.94

Values from the calculation:
Its space group is P4/mmm. The value obtained for the density is 9.1 g/cm³. The crystal system is tetragonal. For the volume, the calculation gives 19.56 Å³ per atom.

***

Tell me which of them is the least stable. Sure, it is P.

***

--- P ---
VASP calculation (GGA-PBE) on Tl2HF3 after structural relaxation.

abc: 4.3097 7.6782 8.5376
angles: 116.46 104.28 90.71
With the nearest neighbours (Å) after each atom.
Positions (direct):
Tl (0.0059, 0.2634, 0.0007)  2 F 2.56
Tl (0.2878, 0.7893, 0.5776)  4 F 2.64-2.93
Tl (0.7122, 0.2107, 0.4224)  4 F 2.64-2.93
Tl (0.9941, 0.7366, 0.9993)  2 F 2.56
H (0.3666, 0.3680, 0.7335)  2 F 1.15-1.16
H (0.6334, 0.6320, 0.2665)  2 F 1.15-1.16
F (0.1082, 0.1062, 0.2141)  4 Tl 2.56-2.64
F (0.3582, 0.5175, 0.7317)  1 H 1.16
F (0.3740, 0.2181, 0.7329)  1 H 1.15
F (0.6260, 0.7819, 0.2671)  1 H 1.15
F (0.6418, 0.4825, 0.2683)  1 H 1.16
F (0.8918, 0.8938, 0.7859)  4 Tl 2.56-2.64

Values from the calculation:
Its space group is P-1. The value obtained for the density is 6.4 g/cm³. The crystal system is triclinic. For the volume, the calculation gives 20.22 Å³ per atom.

***

--- Q ---
VASP calculation (GGA-PBE) on Tl2HF3 after structural relaxation.

abc: 7.3991 7.3991 8.1873
angles: 101.81 101.81 36.22
With the nearest neighbours (Å) after each atom.
Positions (direct):
Tl (0.1500, 0.1521, 0.0883)  4 F 2.53-2.62
Tl (0.1521, 0.1500, 0.5883)  4 F 2.53-2.62
Tl (0.8479, 0.8500, 0.4117)  4 F 2.53-2.62
Tl (0.8500, 0.8479, 0.9117)  4 F 2.53-2.62
H (0.3410, 0.6590, 0.7500)  1 F 0.94
H (0.6590, 0.3410, 0.2500)  1 F 0.94
F (0.2547, 0.2650, 0.3796)  4 Tl 2.53-2.62
F (0.2650, 0.2547, 0.8796)  4 Tl 2.53-2.62
F (0.4538, 0.5462, 0.2500)  1 H 0.94
F (0.5462, 0.4538, 0.7500)  1 H 0.94
F (0.7350, 0.7453, 0.1204)  4 Tl 2.53-2.62
F (0.7453, 0.7350, 0.6204)  4 Tl 2.53-2.62

Values from the calculation:
Its space group is C2/c. The value obtained for the density is 6.0 g/cm³. The crystal system is monoclinic. For the volume, the calculation gives 21.55 Å³ per atom.

***

Tell me which of them is the least stable. Sure, it is Q.